[1]
The following is a DFT calculation (PBE) of a relaxed KMnPd crystal.

Summary:
- energy above the lowest structure with this stoichiometry (eV/atom) = 0.275
- calculated volume (Å³ per atom) = 24.66
- formation energy from the elements (kJ/mol of formula units) = 122
- magnetization (μB per formula unit) = 1.9

a = 20.9792 Å, b = 10.4892 Å, c = 10.4892 Å
α = 153.08°, β = 164.31°, γ = 15.69°
Fractional coordinates of all 6 atoms:
Mn 0.5000 0.3011 0.3011
Mn 0.5000 0.6989 0.6989
Pd 0.0641 0.3600 0.6400
Pd 0.9359 0.6400 0.3600
K 0.3522 0.8109 0.1891
K 0.6478 0.1891 0.8109



[2]
The following is a DFT calculation (PBE) of a relaxed KMnPd crystal.

Summary:
- energy above the lowest structure with this stoichiometry (eV/atom) = 0.029
- calculated volume (Å³ per atom) = 25.93
- formation energy from the elements (kJ/mol of formula units) = 51
- magnetization (μB per formula unit) = 4.3

a = 5.1946 Å, b = 4.7182 Å, c = 8.8228 Å
α = 122.40°, β = 63.80°, γ = 89.98°
Fractional coordinates of all 6 atoms:
Pd 0.7019 0.1819 0.4319
Pd 0.2981 0.8181 0.5681
K 0.3057 0.6769 0.9268
K 0.6943 0.3231 0.0732
Mn 0.1414 0.2602 0.5102
Mn 0.8585 0.7398 0.4898



[3]
The following is a DFT calculation (PBE) of a relaxed KMnPd crystal.

Summary:
- energy above the lowest structure with this stoichiometry (eV/atom) = 0.230
- calculated volume (Å³ per atom) = 21.59
- formation energy from the elements (kJ/mol of formula units) = 109
- magnetization (μB per formula unit) = 0.0

a = 3.1251 Å, b = 13.3274 Å, c = 3.1183 Å
α = 91.71°, β = 93.60°, γ = 88.49°
Fractional coordinates of all 6 atoms:
K 0.0712 0.0042 0.2170
K 0.6257 0.6825 0.6397
Mn 0.0462 0.3065 0.2428
Mn 0.6483 0.3801 0.6116
Pd 0.5557 0.1876 0.7294
Pd 0.1396 0.4990 0.1258



[4]
The following is a DFT calculation (PBE) of a relaxed KMnPd crystal.

Summary:
- energy above the lowest structure with this stoichiometry (eV/atom) = 0.000
- calculated volume (Å³ per atom) = 26.73
- formation energy from the elements (kJ/mol of formula units) = 42
- magnetization (μB per formula unit) = 4.4

a = 4.2616 Å, b = 12.2915 Å, c = 3.0778 Å
α = 84.11°, β = 90.01°, γ = 89.82°
Fractional coordinates of all 6 atoms:
K 0.7487 0.1678 0.6609
K 0.2513 0.8322 0.3391
Mn 0.7508 0.4293 0.5275
Mn 0.2492 0.5707 0.4725
Pd 0.2511 0.3840 0.0477
Pd 0.7489 0.6160 0.9523



[5]
The following is a DFT calculation (PBE) of a relaxed K2MnPdS4 crystal.

Summary:
- energy relative to the elements, uncorrected (kJ/mol of atoms) = -71.16
- calculated volume (Å³ per atom) = 24.90
- magnetization (μB per formula unit) = 1.3

a = 5.4502 Å, b = 7.1257 Å, c = 11.4309 Å
α = 84.77°, β = 76.21°, γ = 67.52°
Fractional coordinates of all 16 atoms:
S 0.8711 0.8052 0.8862
S 0.8789 0.6948 0.6138
S 0.5625 0.1948 0.1138
S 0.2427 0.1948 0.8862
S 0.3237 0.8052 0.1138
S 0.5073 0.3052 0.6138
S 0.4263 0.6948 0.3862
S 0.1875 0.3052 0.3862
Mn 0.5000 0.0000 0.0000
Mn 0.2500 0.5000 0.5000
Pd 0.0000 0.0000 0.0000
Pd 0.7500 0.5000 0.5000
K 0.5701 0.5000 0.8599
K 0.8201 0.0000 0.3599
K 0.9299 0.5000 0.1401
K 0.1799 0.0000 0.6401



[6]
The following is a DFT calculation (PBE) of a relaxed KMnTe3Pd crystal.

Summary:
- energy relative to the elements, uncorrected (kJ/mol of atoms) = -42.28
- calculated volume (Å³ per atom) = 27.86
- magnetization (μB per formula unit) = 2.6

a = 3.9913 Å, b = 8.7043 Å, c = 10.5095 Å
α = 113.72°, β = 90.00°, γ = 90.00°
Fractional coordinates of all 12 atoms:
Te 0.2500 0.1120 0.8791
Te 0.7500 0.8880 0.1209
Te 0.2500 0.5345 0.8747
Te 0.2500 0.7447 0.4276
Te 0.7500 0.2553 0.5724
Te 0.7500 0.4655 0.1253
Pd 0.7500 0.9248 0.3853
Pd 0.2500 0.0752 0.6147
K 0.2500 0.2512 0.2896
K 0.7500 0.7488 0.7104
Mn 0.2500 0.6982 0.1607
Mn 0.7500 0.3018 0.8393



[7]
The following is a DFT calculation (PBE) of a relaxed K3Pm2MnS6 crystal.

Summary:
- energy relative to the elements, uncorrected (kJ/mol of atoms) = -139.54
- calculated volume (Å³ per atom) = 25.87
- magnetization (μB per formula unit) = 4.0

a = 7.0030 Å, b = 7.0030 Å, c = 7.7177 Å
α = 98.45°, β = 98.45°, γ = 120.78°
Fractional coordinates of all 12 atoms:
Pm 0.6691 0.3309 0.0000
Pm 0.3309 0.6691 0.0000
Mn 0.0000 0.0000 0.0000
K 0.5000 0.5000 0.5000
K 0.1681 0.8319 0.5000
K 0.8319 0.1681 0.5000
S 0.3839 0.0698 0.2040
S 0.6161 0.9302 0.7960
S 0.2286 0.2286 0.8146
S 0.9302 0.6161 0.7960
S 0.0698 0.3839 0.2040
S 0.7714 0.7714 0.1854



[8]
The following is a DFT calculation (PBE) of a relaxed K2Pm2MnS6 crystal.

Summary:
- energy relative to the elements, uncorrected (kJ/mol of atoms) = -134.17
- calculated volume (Å³ per atom) = 27.39
- magnetization (μB per formula unit) = 3.0

a = 6.7662 Å, b = 6.7662 Å, c = 7.8678 Å
α = 98.68°, β = 98.68°, γ = 118.85°
Fractional coordinates of all 11 atoms:
S 0.0661 0.3592 0.6910
S 0.3592 0.0661 0.6910
S 0.7780 0.7780 0.6872
S 0.2220 0.2220 0.3128
S 0.9339 0.6408 0.3090
S 0.6408 0.9339 0.3090
K 0.8290 0.1710 0.0000
K 0.1710 0.8290 0.0000
Mn 0.0000 0.0000 0.5000
Pm 0.6669 0.3331 0.5000
Pm 0.3331 0.6669 0.5000



[9]
The following is a DFT calculation (PBE) of a relaxed KPmMnS3 crystal.

Summary:
- energy relative to the elements, uncorrected (kJ/mol of atoms) = -134.06
- calculated volume (Å³ per atom) = 28.18
- magnetization (μB per formula unit) = 5.0

a = 4.1515 Å, b = 8.8460 Å, c = 9.5402 Å
α = 105.16°, β = 90.00°, γ = 90.00°
Fractional coordinates of all 12 atoms:
Pm 0.7500 0.3362 0.8539
Pm 0.2500 0.6638 0.1461
S 0.7500 0.8849 0.1436
S 0.2500 0.8079 0.4678
S 0.7500 0.1921 0.5322
S 0.2500 0.5476 0.8460
S 0.2500 0.1151 0.8564
S 0.7500 0.4524 0.1540
K 0.7500 0.8050 0.7795
K 0.2500 0.1950 0.2205
Mn 0.2500 0.0870 0.6074
Mn 0.7500 0.9130 0.3926



[10]
The following is a DFT calculation (PBE) of a relaxed K3Pm3MnS8 crystal.

Summary:
- energy relative to the elements, uncorrected (kJ/mol of atoms) = -146.13
- calculated volume (Å³ per atom) = 27.95
- magnetization (μB per formula unit) = 3.0

a = 8.0289 Å, b = 8.0308 Å, c = 8.8254 Å
α = 117.08°, β = 90.00°, γ = 119.99°
Fractional coordinates of all 15 atoms:
Pm 0.5000 0.0000 0.5000
Pm 0.0000 0.5000 0.5000
Pm 0.5000 0.5000 0.5000
S 0.7923 0.5846 0.3146
S 0.2300 0.0223 0.3146
S 0.2077 0.4154 0.6854
S 0.7923 0.0223 0.3146
S 0.7362 0.4724 0.7085
S 0.7700 0.9777 0.6854
S 0.2077 0.9777 0.6854
S 0.2638 0.5276 0.2915
K 0.0000 0.5000 0.0000
K 0.0000 0.0000 0.0000
K 0.5000 0.5000 0.0000
Mn 0.0000 0.0000 0.5000



[11]
The following is a DFT calculation (PBE) of a relaxed K2PmMnS4 crystal.

Summary:
- energy relative to the elements, uncorrected (kJ/mol of atoms) = -116.82
- calculated volume (Å³ per atom) = 24.91
- magnetization (μB per formula unit) = 4.0

a = 8.3355 Å, b = 8.3355 Å, c = 8.4004 Å
α = 120.25°, β = 120.25°, γ = 92.68°
Fractional coordinates of all 16 atoms:
Mn 0.0000 0.0000 0.0000
Mn 0.5000 0.5000 0.5000
S 0.7589 0.7412 0.5674
S 0.2236 0.7359 0.9798
S 0.2412 0.2589 0.0674
S 0.2358 0.7237 0.4798
S 0.7763 0.2641 0.0202
S 0.7588 0.7411 0.9325
S 0.2411 0.2588 0.4326
S 0.7641 0.2763 0.5202
Pm 0.0000 0.5000 0.5000
Pm 0.0000 0.5000 0.0000
K 0.5000 0.5000 0.0000
K 0.5000 0.0000 0.5000
K 0.0000 0.0000 0.5000
K 0.5000 0.0000 0.0000



[12]
The following is a DFT calculation (PBE) of a relaxed K2PmMn2Se4 crystal.

Summary:
- energy relative to the elements, uncorrected (kJ/mol of atoms) = -105.35
- calculated volume (Å³ per atom) = 27.59
- magnetization (μB per formula unit) = 9.0

a = 4.2247 Å, b = 8.0208 Å, c = 8.0818 Å
α = 109.34°, β = 105.15°, γ = 90.00°
Fractional coordinates of all 9 atoms:
Pm 0.0000 0.0000 0.0000
Se 0.2032 0.1796 0.4065
Se 0.4792 0.2423 0.9584
Se 0.5208 0.7577 0.0416
Se 0.7968 0.8204 0.5935
K 0.1304 0.5546 0.2608
K 0.8696 0.4454 0.7392
Mn 0.3214 0.0162 0.6429
Mn 0.6786 0.9838 0.3571



[13]
The following is a DFT calculation (PBE) of a relaxed K3Pm3MnSe8 crystal.

Summary:
- energy relative to the elements, uncorrected (kJ/mol of atoms) = -136.68
- calculated volume (Å³ per atom) = 31.63
- magnetization (μB per formula unit) = 3.0

a = 8.3600 Å, b = 8.3599 Å, c = 9.2067 Å
α = 117.00°, β = 90.00°, γ = 120.00°
Fractional coordinates of all 15 atoms:
Se 0.2106 0.4212 0.6897
Se 0.7895 0.0208 0.3103
Se 0.2105 0.9792 0.6897
Se 0.7687 0.9792 0.6897
Se 0.7373 0.4745 0.7117
Se 0.2313 0.0208 0.3103
Se 0.2627 0.5255 0.2883
Se 0.7894 0.5788 0.3103
Pm 0.5000 0.0000 0.5000
Pm 0.0000 0.5000 0.5000
Pm 0.5000 0.5000 0.5000
K 0.0000 0.5000 0.0000
K 0.0000 0.0000 0.0000
K 0.5000 0.5000 0.0000
Mn 0.0000 0.0000 0.5000



[14]
The following is a DFT calculation (PBE) of a relaxed K3Pm2MnSe6 crystal.

Summary:
- energy relative to the elements, uncorrected (kJ/mol of atoms) = -131.23
- calculated volume (Å³ per atom) = 29.24
- magnetization (μB per formula unit) = 4.0

a = 7.2855 Å, b = 7.2855 Å, c = 8.0478 Å
α = 98.49°, β = 98.49°, γ = 120.61°
Fractional coordinates of all 12 atoms:
K 0.5000 0.5000 0.5000
K 0.8301 0.1699 0.5000
K 0.1699 0.8301 0.5000
Mn 0.0000 0.0000 0.0000
Se 0.0697 0.3820 0.2046
Se 0.9303 0.6180 0.7954
Se 0.6180 0.9303 0.7954
Se 0.3820 0.0697 0.2046
Se 0.2325 0.2325 0.8070
Se 0.7675 0.7675 0.1930
Pm 0.3319 0.6681 0.0000
Pm 0.6681 0.3319 0.0000



[15]
The following is a DFT calculation (PBE) of a relaxed K4Pm3MnSe8 crystal.

Summary:
- energy relative to the elements, uncorrected (kJ/mol of atoms) = -140.23
- calculated volume (Å³ per atom) = 29.74
- magnetization (μB per formula unit) = 4.0

a = 8.4516 Å, b = 9.1077 Å, c = 8.4531 Å
α = 117.65°, β = 119.99°, γ = 90.00°
Fractional coordinates of all 16 atoms:
K 0.0000 0.0000 0.5000
K 0.5000 0.0000 0.0000
K 0.0000 0.0000 0.0000
K 0.5000 0.0000 0.5000
Mn 0.0000 0.5000 0.0000
Se 0.2220 0.7000 0.9780
Se 0.7780 0.3000 0.0220
Se 0.7561 0.7000 0.9780
Se 0.2623 0.2868 0.5245
Se 0.7777 0.2997 0.5553
Se 0.7377 0.7132 0.4755
Se 0.2439 0.3000 0.0220
Se 0.2223 0.7003 0.4447
Pm 0.5000 0.5000 0.5000
Pm 0.0000 0.5000 0.5000
Pm 0.5000 0.5000 0.0000



[16]
The following is a DFT calculation (PBE) of a relaxed KPmMnTe3 crystal.

Summary:
- energy relative to the elements, uncorrected (kJ/mol of atoms) = -93.86
- calculated volume (Å³ per atom) = 37.02
- magnetization (μB per formula unit) = 5.0

a = 4.5347 Å, b = 9.7637 Å, c = 10.4842 Å
α = 106.88°, β = 90.00°, γ = 90.00°
Fractional coordinates of all 12 atoms:
Te 0.7500 0.4578 0.1691
Te 0.7500 0.8978 0.1362
Te 0.7500 0.2090 0.5309
Te 0.2500 0.7910 0.4691
Te 0.2500 0.1022 0.8638
Te 0.2500 0.5422 0.8309
Pm 0.2500 0.6707 0.1413
Pm 0.7500 0.3293 0.8587
K 0.7500 0.7961 0.7649
K 0.2500 0.2039 0.2351
Mn 0.7500 0.9156 0.3954
Mn 0.2500 0.0844 0.6046



[17]
The following is a DFT calculation (PBE) of a relaxed K3Pm3MnTe8 crystal.

Summary:
- energy relative to the elements, uncorrected (kJ/mol of atoms) = -105.08
- calculated volume (Å³ per atom) = 38.68
- magnetization (μB per formula unit) = 3.0

a = 8.9058 Å, b = 8.9075 Å, c = 9.8863 Å
α = 116.76°, β = 90.00°, γ = 120.00°
Fractional coordinates of all 15 atoms:
Te 0.2132 0.4265 0.6935
Te 0.7868 0.5735 0.3065
Te 0.2132 0.9803 0.6935
Te 0.7868 0.0197 0.3065
Te 0.7384 0.4769 0.7153
Te 0.7671 0.9803 0.6935
Te 0.2616 0.5231 0.2847
Te 0.2329 0.0197 0.3065
K 0.0000 0.5000 0.0000
K 0.5000 0.5000 0.0000
K 0.0000 0.0000 0.0000
Pm 0.0000 0.5000 0.5000
Pm 0.5000 0.0000 0.5000
Pm 0.5000 0.5000 0.5000
Mn 0.0000 0.0000 0.5000



[18]
The following is a DFT calculation (PBE) of a relaxed K3Pr3MnS8 crystal.

Summary:
- energy relative to the elements, uncorrected (kJ/mol of atoms) = -143.63
- calculated volume (Å³ per atom) = 28.74
- magnetization (μB per formula unit) = 3.0

a = 8.1415 Å, b = 8.1436 Å, c = 8.8595 Å
α = 117.38°, β = 90.00°, γ = 119.99°
Fractional coordinates of all 15 atoms:
S 0.7373 0.4745 0.7117
S 0.2627 0.5255 0.2883
S 0.2262 0.0201 0.3141
S 0.2061 0.4122 0.6859
S 0.7738 0.9799 0.6859
S 0.7939 0.0201 0.3141
S 0.7939 0.5878 0.3141
S 0.2061 0.9799 0.6859
Pr 0.5000 0.0000 0.5000
Pr 0.5000 0.5000 0.5000
Pr 0.0000 0.5000 0.5000
Mn 0.0000 0.0000 0.5000
K 0.5000 0.5000 0.0000
K 0.0000 0.5000 0.0000
K 0.0000 0.0000 0.0000



[19]
The following is a DFT calculation (PBE) of a relaxed K3Pr2MnS6 crystal.

Summary:
- energy relative to the elements, uncorrected (kJ/mol of atoms) = -137.45
- calculated volume (Å³ per atom) = 26.50
- magnetization (μB per formula unit) = 4.0

a = 7.0792 Å, b = 7.0792 Å, c = 7.7393 Å
α = 98.56°, β = 98.56°, γ = 120.71°
Fractional coordinates of all 12 atoms:
K 0.5000 0.5000 0.5000
K 0.8321 0.1679 0.5000
K 0.1679 0.8321 0.5000
S 0.6178 0.9294 0.7940
S 0.9294 0.6178 0.7940
S 0.7760 0.7760 0.1856
S 0.0706 0.3822 0.2060
S 0.3822 0.0706 0.2060
S 0.2240 0.2240 0.8144
Pr 0.3309 0.6691 0.0000
Pr 0.6691 0.3309 0.0000
Mn 0.0000 0.0000 0.0000



[20]
The following is a DFT calculation (PBE) of a relaxed K4Pr3MnS8 crystal.

Summary:
- energy relative to the elements, uncorrected (kJ/mol of atoms) = -147.09
- calculated volume (Å³ per atom) = 27.35
- magnetization (μB per formula unit) = 4.0

a = 8.1432 Å, b = 8.7821 Å, c = 8.3116 Å
α = 117.84°, β = 119.33°, γ = 90.00°
Fractional coordinates of all 16 atoms:
S 0.7728 0.6854 0.9762
S 0.7966 0.3146 0.0238
S 0.7337 0.7119 0.4675
S 0.2663 0.2881 0.5325
S 0.7475 0.2746 0.4950
S 0.2272 0.3146 0.0238
S 0.2525 0.7254 0.5050
S 0.2034 0.6854 0.9762
Pr 0.0000 0.5000 0.5000
Pr 0.5000 0.5000 0.5000
Pr 0.5000 0.5000 0.0000
K 0.5000 0.0000 0.0000
K 0.5000 0.0000 0.5000
K 0.0000 0.0000 0.0000
K 0.0000 0.0000 0.5000
Mn 0.0000 0.5000 0.0000